Record 1
The following is a PBE calculation of a relaxed structure of AuBr2Cl, from the Alexandria database.

Lattice parameters (Å, degrees): 7.944 3.910 3.910 90.00 90.00 90.00
Fractional coordinates of all 4 atoms:
Br 0.000 0.500 0.500
Au 0.500 0.000 0.500
Cl 0.500 0.500 0.000
Br 0.000 0.000 0.000

Calculated values
Formation energy from raw total energies: 247 meV per atom
Total magnetic moment: 0.00 Bohr magnetons per cell
ΔE to the lowest computed polymorph: 422 meV per atom
V: 121.5 Å³/cell
DOS at the Fermi energy: 1.61 states/eV per cell
SG: P4/mmm, No. 123
Calculated total energy: -7.481 eV per formula unit



Record 2
The following is a PBE calculation of a relaxed structure of BaSr2Ca, from the Alexandria database.

Lattice parameters (Å, degrees): 4.233 4.233 13.983 81.29 81.29 60.00
Fractional coordinates of all 4 atoms:
Sr 0.254 0.254 0.237
Ba 0.500 0.500 0.500
Sr 0.079 0.079 0.763
Ca 0.667 0.667 0.000

Calculated values
Total magnetic moment: 0.00 Bohr magnetons per cell
ΔE to the lowest computed polymorph: 12 meV per atom
V: 213.6 Å³/cell
DOS at the Fermi energy: 5.54 states/eV per cell
SG: R3m, No. 160
Calculated total energy: -7.175 eV per formula unit



Record 3
The following is a PBE calculation of a relaxed structure of AlGaCu, from the Alexandria database.

Lattice parameters (Å, degrees): 2.799 2.799 6.086 103.30 103.30 90.00
Fractional coordinates of all 3 atoms:
Al 0.319 0.319 0.638
Ga 0.008 0.008 0.017
Cu 0.672 0.672 0.345

Calculated values
Total magnetic moment: 0.00 Bohr magnetons per cell
V: 45.1 Å³/cell
DOS at the Fermi energy: 0.85 states/eV per cell
SG: I4mm, No. 107
Calculated total energy: -11.018 eV per formula unit



Record 4
The following is a PBE calculation of a relaxed structure of PmPt4, from the Alexandria database.

Lattice parameters (Å, degrees): 4.352 5.957 7.917 112.10 105.95 90.00
Fractional coordinates of all 10 atoms:
Pt 0.500 0.000 0.000
Pt 0.891 0.641 0.782
Pm 0.891 0.141 0.782
Pt 0.305 0.329 0.610
Pt 0.695 0.219 0.390
Pt 0.305 0.781 0.610
Pt 0.695 0.671 0.390
Pt 0.109 0.359 0.218
Pm 0.109 0.859 0.218
Pt 0.500 0.500 0.000

Calculated values
Total magnetic moment: 0.00 Bohr magnetons per cell
ΔE to the lowest computed polymorph: 0 meV per atom
V: 181.6 Å³/cell
DOS at the Fermi energy: 9.28 states/eV per cell
SG: Imma, No. 74
Calculated total energy: -32.467 eV per formula unit